## CeNiO (PBE+U)

Data for CeNiO after structural relaxation.

abc: 9.3313 9.3313 7.0181
angles: 107.54 107.54 21.42
Positions (direct):
1 Ce 0.0933 0.0933 0.4564
2 Ce 0.1150 0.1150 0.0015
3 Ce 0.8850 0.8850 0.9985
4 Ce 0.9067 0.9067 0.5436
5 Ni 0.2657 0.2657 0.6405
6 Ni 0.2823 0.2823 0.1635
7 Ni 0.7177 0.7177 0.8365
8 Ni 0.7343 0.7343 0.3595
9 O 0.0368 0.0368 0.7003
10 O 0.4020 0.4020 0.7863
11 O 0.5980 0.5980 0.2137
12 O 0.9632 0.9632 0.2997

Symmetry = C2/m (12)
Crystal system = monoclinic
Energy = -5.8027 eV/atom

---

## Ce2NiO (PBE+U)

Data for Ce2NiO after structural relaxation.

abc: 8.3117 8.3117 8.3117
angles: 21.94 21.94 21.94
Positions (direct):
1 Ce 0.0996 0.0996 0.0996
2 Ce 0.9004 0.9004 0.9004
3 Ni 0.0000 0.0000 0.0000
4 O 0.5000 0.5000 0.5000

Symmetry = R-3m (166)
Crystal system = trigonal
Energy = -5.5684 eV/atom

---

## CePaNi2O6 (PBE+U)

Data for CePaNi2O6 after structural relaxation.

abc: 5.5818 6.0714 9.6290
angles: 90.00 120.33 90.00
Positions (direct):
1 Ce 0.0000 0.0000 0.0000
2 Ce 0.0000 0.5000 0.5000
3 Pa 0.5000 0.0000 0.5000
4 Pa 0.5000 0.5000 0.0000
5 Ni 0.1521 0.0757 0.6793
6 Ni 0.1521 0.4243 0.1793
7 Ni 0.8479 0.5757 0.8207
8 Ni 0.8479 0.9243 0.3207
9 O 0.1095 0.0995 0.2658
10 O 0.1095 0.4005 0.7658
11 O 0.2017 0.6659 0.0466
12 O 0.2017 0.8341 0.5466
13 O 0.3973 0.2317 0.1043
14 O 0.3973 0.2683 0.6043
15 O 0.6027 0.7317 0.3957
16 O 0.6027 0.7683 0.8957
17 O 0.7983 0.1659 0.4534
18 O 0.7983 0.3341 0.9534
19 O 0.8905 0.5995 0.2342
20 O 0.8905 0.9005 0.7342

Symmetry = P2_1/c (14)
Crystal system = monoclinic
Energy = -7.3904 eV/atom

---

## CeNi2PbO6 (PBE+U)

Data for CeNi2PbO6 after structural relaxation.

abc: 5.5849 5.6917 9.7216
angles: 90.00 123.98 90.00
Positions (direct):
1 Ce 0.0000 0.0000 0.0000
2 Ce 0.0000 0.5000 0.5000
3 Ni 0.2219 0.0304 0.7086
4 Ni 0.2219 0.4696 0.2086
5 Ni 0.7781 0.5304 0.7914
6 Ni 0.7781 0.9696 0.2914
7 Pb 0.5000 0.0000 0.5000
8 Pb 0.5000 0.5000 0.0000
9 O 0.1197 0.1595 0.4650
10 O 0.1197 0.3405 0.9650
11 O 0.2080 0.6761 0.3828
12 O 0.2080 0.8239 0.8828
13 O 0.4281 0.1349 0.2709
14 O 0.4281 0.3651 0.7709
15 O 0.5719 0.6349 0.2291
16 O 0.5719 0.8651 0.7291
17 O 0.7920 0.1761 0.1172
18 O 0.7920 0.3239 0.6172
19 O 0.8803 0.6595 0.0350
20 O 0.8803 0.8405 0.5350

Symmetry = P2_1/c (14)
Crystal system = monoclinic
Energy = -6.0023 eV/atom